[1]
PmTm2Hg (PBE, relaxed); energy of formation = -0.15 eV per atom; space group = P4/mmm (123); relative energy among the computed polymorphs = 32 kJ/mol of formula units; N(E_F) = 5.24 states/eV/cell; energy = -14.606 eV for the cell shown
1.0
4.776 0.000 0.000
0.000 4.818 0.000
0.000 0.000 4.818
Pm Tm Hg
1 2 1
Direct
0.500 0.500 0.500
0.000 0.500 0.000
0.000 0.000 0.500
0.500 0.000 0.000


[2]
PmTmHg (PBE, relaxed); energy of formation = -0.30 eV per atom; space group = I4mm (107); relative energy among the computed polymorphs = 0 kJ/mol of formula units; N(E_F) = 3.48 states/eV/cell; energy = -10.426 eV for the cell shown
1.0
3.638 0.000 0.000
0.000 3.638 0.000
-1.819 -1.819 6.445
Pm Hg Tm
1 1 1
Direct
0.609 0.609 0.217
0.941 0.941 0.881
0.301 0.301 0.601


[3]
PmTm2Hg (PBE, relaxed); energy of formation = -0.17 eV per atom; space group = R-3m (166); relative energy among the computed polymorphs = 25 kJ/mol of formula units; N(E_F) = 3.27 states/eV/cell; energy = -14.681 eV for the cell shown
1.0
-0.508 3.278 -1.381
-3.257 1.513 0.117
1.070 5.880 8.892
Pm Hg Tm
1 1 2
Direct
0.500 0.500 0.500
0.000 0.000 0.000
0.258 0.258 0.225
0.742 0.742 0.775


[4]
Pm3Tm2Hg3 (PBE, relaxed); energy of formation = -0.35 eV per atom; space group = Immm (71); N(E_F) = 10.49 states/eV/cell; energy = -26.933 eV for the cell shown
1.0
-0.691 -2.862 -2.308
-0.858 -3.235 4.268
-10.051 5.759 -1.102
Tm Hg Pm
2 3 3
Direct
0.734 0.234 0.468
0.266 0.766 0.532
0.124 0.124 0.248
0.000 0.500 0.000
0.876 0.876 0.752
0.500 0.000 0.000
0.377 0.377 0.754
0.623 0.623 0.246


[5]
PmTmHg (PBE, relaxed); energy of formation = -0.10 eV per atom; space group = F-43m (216); relative energy among the computed polymorphs = 58 kJ/mol of formula units; N(E_F) = 4.08 states/eV/cell; energy = -9.827 eV for the cell shown
1.0
-1.411 -0.513 4.910
0.806 -4.438 2.452
3.569 -0.288 3.680
Hg Pm Tm
1 1 1
Direct
0.250 0.250 0.250
0.500 0.500 0.500
0.000 0.000 0.000


[6]
Pm4TmHg (PBE, relaxed); energy of formation = -0.05 eV per atom; space group = C2/c (15); relative energy among the computed polymorphs = 56 kJ/mol of formula units; N(E_F) = 16.20 states/eV/cell; energy = -48.132 eV for the cell shown
1.0
6.409 -0.724 0.000
-2.555 8.759 0.000
-1.927 -4.018 7.069
Pm Tm Hg
8 2 2
Direct
0.955 0.830 0.230
0.362 0.910 0.621
0.775 0.400 0.230
0.759 0.711 0.621
0.045 0.170 0.770
0.638 0.090 0.379
0.241 0.289 0.379
0.225 0.600 0.770
0.342 0.592 0.185
0.658 0.408 0.815
0.251 0.001 0.003
0.749 0.999 0.997


[7]
PmTm2Hg (PBE, relaxed); energy of formation = 0.00 eV per atom; space group = Fm-3m (225); relative energy among the computed polymorphs = 91 kJ/mol of formula units; N(E_F) = 6.56 states/eV/cell; energy = -14.002 eV for the cell shown
1.0
5.387 0.000 0.000
2.694 4.665 0.000
2.694 1.555 4.399
Tm Pm Hg
2 1 1
Direct
0.750 0.750 0.750
0.250 0.250 0.250
0.000 0.000 0.000
0.500 0.500 0.500


[8]
PmTmHg (PBE, relaxed); energy of formation = -0.28 eV per atom; space group = P-62m (189); relative energy among the computed polymorphs = 5 kJ/mol of formula units; N(E_F) = 12.97 states/eV/cell; energy = -31.130 eV for the cell shown
1.0
3.785 0.000 0.000
0.000 7.645 -4.414
0.000 0.000 8.828
Pm Tm Hg
3 3 3
Direct
0.500 0.610 0.000
0.500 0.390 0.390
0.500 0.000 0.610
0.000 0.000 0.275
0.000 0.725 0.725
0.000 0.275 0.000
0.000 0.667 0.333
0.500 0.000 0.000
0.000 0.333 0.667


[9]
PmTmHg3 (PBE, relaxed); energy of formation = -0.34 eV per atom; space group = Cmcm (63); relative energy among the computed polymorphs = 40 kJ/mol of formula units; N(E_F) = 14.31 states/eV/cell; energy = -47.214 eV for the cell shown
1.0
-4.465 3.760 -4.952
1.582 -6.210 -6.141
-5.580 -6.899 -0.207
Hg Pm Tm
12 4 4
Direct
0.540 0.675 0.132
0.960 0.675 0.132
0.000 0.704 0.704
0.960 0.868 0.325
0.000 0.296 0.296
0.040 0.325 0.868
0.040 0.132 0.675
0.460 0.132 0.675
0.500 0.704 0.704
0.460 0.325 0.868
0.540 0.868 0.325
0.500 0.296 0.296
0.750 0.025 0.975
0.250 0.975 0.025
0.750 0.476 0.524
0.250 0.524 0.476
0.250 0.996 0.471
0.250 0.529 0.004
0.750 0.004 0.529
0.750 0.471 0.996


[10]
PmTm2Hg (PBE, relaxed); energy of formation = -0.15 eV per atom; space group = R3m (160); relative energy among the computed polymorphs = 33 kJ/mol of formula units; N(E_F) = 4.63 states/eV/cell; energy = -14.600 eV for the cell shown
1.0
3.623 0.000 0.000
1.811 3.137 0.000
1.811 1.046 10.458
Tm Hg Pm
2 1 1
Direct
0.259 0.259 0.223
0.074 0.074 0.777
0.666 0.666 0.001
0.500 0.500 0.500


[11]
Pm3Tm2Hg2 (PBE, relaxed); energy of formation = -0.12 eV per atom; space group = Cmmm (65); relative energy among the computed polymorphs = 76 kJ/mol of formula units; N(E_F) = 8.10 states/eV/cell; energy = -24.641 eV for the cell shown
1.0
-3.003 3.366 -2.139
-2.796 -2.019 0.748
-2.672 7.034 8.994
Pm Hg Tm
3 2 2
Direct
0.854 0.000 0.292
0.146 0.000 0.708
0.000 0.000 0.000
0.571 0.500 0.857
0.429 0.500 0.143
0.290 0.500 0.419
0.710 0.500 0.581


[12]
PmTmHg (PBE, relaxed); energy of formation = -0.19 eV per atom; space group = P3m1 (156); relative energy among the computed polymorphs = 32 kJ/mol of formula units; N(E_F) = 4.27 states/eV/cell; energy = -10.096 eV for the cell shown
1.0
-1.304 -2.855 -2.233
-0.671 -2.936 4.144
-3.798 3.020 -1.643
Pm Hg Tm
1 1 1
Direct
0.654 0.667 0.333
0.204 0.333 0.667
0.142 0.000 0.000


[13]
Pm2TmHg7 (PBE, relaxed); energy of formation = -0.30 eV per atom; space group = P3m1 (156); N(E_F) = 4.69 states/eV/cell; energy = -19.041 eV for the cell shown
1.0
4.992 0.000 0.000
-2.496 4.323 0.000
0.000 0.000 12.305
Hg Pm Tm
7 2 1
Direct
0.000 0.000 0.516
0.333 0.667 0.898
0.333 0.667 0.151
0.333 0.667 0.409
0.000 0.000 0.231
0.667 0.333 0.052
0.667 0.333 0.781
0.333 0.667 0.652
0.667 0.333 0.326
0.000 0.000 0.968


[14]
Pm3Tm2Hg2 (PBE, relaxed); energy of formation = -0.23 eV per atom; space group = R-3m (166); relative energy among the computed polymorphs = 0 kJ/mol of formula units; N(E_F) = 7.26 states/eV/cell; energy = -25.423 eV for the cell shown
1.0
5.405 0.000 0.000
-2.702 4.673 -0.306
0.000 -2.589 8.174
Tm Hg Pm
2 2 3
Direct
0.926 0.852 0.279
0.074 0.148 0.721
0.789 0.578 0.866
0.211 0.422 0.134
0.500 0.000 0.000
0.659 0.318 0.478
0.341 0.682 0.522


[15]
PmTm4Hg (PBE, relaxed); energy of formation = -0.14 eV per atom; space group = P4/mmm (123); relative energy among the computed polymorphs = 0 kJ/mol of formula units; N(E_F) = 8.19 states/eV/cell; energy = -23.776 eV for the cell shown
1.0
3.545 0.000 0.000
0.000 3.545 0.000
0.000 0.000 13.935
Tm Pm Hg
4 1 1
Direct
0.000 0.000 0.642
0.500 0.500 0.820
0.000 0.000 0.358
0.500 0.500 0.180
0.000 0.000 0.000
0.500 0.500 0.500


[16]
PmTm3Hg2 (PBE, relaxed); energy of formation = -0.35 eV per atom; space group = Pmc2_1 (26); relative energy among the computed polymorphs = 0 kJ/mol of formula units; N(E_F) = 5.61 states/eV/cell; energy = -41.755 eV for the cell shown
1.0
5.054 0.000 0.000
0.000 7.118 0.000
0.000 0.000 9.194
Tm Hg Pm
6 4 2
Direct
0.000 0.334 0.319
0.000 0.983 0.057
0.500 0.167 0.829
0.500 0.667 0.171
0.000 0.483 0.943
0.000 0.834 0.681
0.000 0.257 0.650
0.000 0.757 0.350
0.500 0.243 0.145
0.500 0.743 0.855
0.500 0.516 0.557
0.500 0.016 0.443


[17]
Pm4TmHg (PBE, relaxed); energy of formation = -0.14 eV per atom; space group = P4/mmm (123); relative energy among the computed polymorphs = 0 kJ/mol of formula units; N(E_F) = 7.56 states/eV/cell; energy = -24.643 eV for the cell shown
1.0
3.663 -0.001 0.000
0.001 3.663 0.000
0.000 0.000 14.077
Pm Tm Hg
4 1 1
Direct
0.500 0.500 0.175
0.500 0.500 0.825
0.000 0.000 0.355
0.000 0.000 0.645
0.000 0.000 0.000
0.500 0.500 0.500


[18]
Pm2TmHg5 (PBE, relaxed); energy of formation = -0.40 eV per atom; space group = I4/mmm (139); N(E_F) = 6.09 states/eV/cell; energy = -18.697 eV for the cell shown
1.0
-0.032 -2.159 4.727
-3.419 -3.551 -1.645
7.396 -1.667 -3.568
Hg Pm Tm
5 2 1
Direct
0.882 0.382 0.764
0.118 0.618 0.236
0.382 0.882 0.764
0.618 0.118 0.236
0.500 0.500 0.000
0.263 0.263 0.525
0.737 0.737 0.475
0.000 0.000 0.000


[19]
Pm4Tm5Hg (PBE, relaxed); energy of formation = -0.08 eV per atom; space group = P4/mmm (123); N(E_F) = 12.58 states/eV/cell; energy = -42.475 eV for the cell shown
1.0
-0.939 2.883 1.905
1.289 -1.539 2.965
21.456 9.789 -4.246
Pm Tm Hg
4 5 1
Direct
0.000 0.000 0.396
0.000 0.000 0.814
0.000 0.000 0.186
0.000 0.000 0.604
0.500 0.500 0.291
0.500 0.500 0.709
0.500 0.500 0.919
0.500 0.500 0.500
0.500 0.500 0.081
0.000 0.000 0.000


[20]
Pm2Tm2Hg (PBE, relaxed); energy of formation = -0.04 eV per atom; space group = I4_1/amd (141); relative energy among the computed polymorphs = 66 kJ/mol of formula units; N(E_F) = 14.89 states/eV/cell; energy = -37.930 eV for the cell shown
1.0
5.114 0.000 0.000
0.000 5.114 0.000
-2.557 -2.557 12.195
Hg Tm Pm
2 4 4
Direct
0.250 0.750 0.500
0.500 0.500 0.000
0.822 0.822 0.643
0.928 0.428 0.857
0.178 0.178 0.357
0.572 0.072 0.143
0.422 0.922 0.844
0.672 0.672 0.344
0.328 0.328 0.656
0.078 0.578 0.156


[21]
PmTm3Hg2 (PBE, relaxed); energy of formation = -0.31 eV per atom; space group = P4/mmm (123); relative energy among the computed polymorphs = 23 kJ/mol of formula units; N(E_F) = 5.68 states/eV/cell; energy = -20.639 eV for the cell shown
1.0
-3.126 1.256 -1.440
0.391 -2.281 -2.840
-6.257 -8.622 6.063
Hg Tm Pm
2 3 1
Direct
0.500 0.500 0.151
0.500 0.500 0.849
0.000 0.000 0.701
0.000 0.000 0.000
0.000 0.000 0.299
0.500 0.500 0.500


[22]
PmTm2Hg6 (PBE, relaxed); energy of formation = -0.15 eV per atom; space group = I4/mmm (139); relative energy among the computed polymorphs = 201 kJ/mol of formula units; N(E_F) = 5.85 states/eV/cell; energy = -16.895 eV for the cell shown
1.0
-0.446 3.307 3.008
-3.296 1.800 -2.467
-6.787 -9.580 6.171
Hg Tm Pm
6 2 1
Direct
0.412 0.912 0.825
0.912 0.412 0.825
0.250 0.750 0.500
0.088 0.588 0.175
0.588 0.088 0.175
0.750 0.250 0.500
0.331 0.331 0.662
0.669 0.669 0.338
0.000 0.000 0.000


[23]
Pm6TmHg5 (PBE, relaxed); energy of formation = -0.35 eV per atom; space group = Immm (71); N(E_F) = 15.67 states/eV/cell; energy = -38.699 eV for the cell shown
1.0
-4.193 -1.351 2.952
1.334 -7.610 -1.588
6.208 3.952 5.864
Hg Pm Tm
5 6 1
Direct
0.353 0.853 0.706
0.670 0.670 0.340
0.000 0.500 0.000
0.330 0.330 0.660
0.647 0.147 0.294
0.500 0.272 0.000
0.828 0.573 0.656
0.500 0.728 0.000
0.172 0.427 0.344
0.828 0.083 0.656
0.172 0.917 0.344
0.000 0.000 0.000


[24]
PmTmHg6 (PBE, relaxed); energy of formation = -0.31 eV per atom; space group = P4/mmm (123); relative energy among the computed polymorphs = 22 kJ/mol of formula units; N(E_F) = 6.13 states/eV/cell; energy = -13.529 eV for the cell shown
1.0
4.722 0.000 0.000
0.000 4.722 0.000
0.000 0.000 8.904
Hg Tm Pm
6 1 1
Direct
0.500 0.000 0.743
0.500 0.500 0.500
0.500 0.500 0.000
0.000 0.500 0.257
0.500 0.000 0.257
0.000 0.500 0.743
0.000 0.000 0.500
0.000 0.000 0.000


[25]
Pm2Tm2Hg (PBE, relaxed); energy of formation = -0.18 eV per atom; space group = I4/mmm (139); relative energy among the computed polymorphs = 0 kJ/mol of formula units; N(E_F) = 7.63 states/eV/cell; energy = -19.647 eV for the cell shown
1.0
-1.919 0.060 3.026
-1.301 -3.252 -0.760
10.448 -3.273 4.567
Hg Tm Pm
1 2 2
Direct
0.000 0.000 0.000
0.584 0.584 0.168
0.416 0.416 0.832
0.807 0.807 0.614
0.193 0.193 0.386